*A*
{"formula": "NiHgH2", "functional": "GGA-PBE", "state": "optimized geometry", "space_group": "Fm-3m, No. 225", "magmom_total_mub_per_cell": 0.0, "crystal_system": "cubic", "lattice_angstrom": [[3.5115, 1.2746, 0.7663], [0.4845, 2.9362, 2.3846], [1.5271, -0.5748, 3.4467]], "species": ["H", "Ni", "Hg", "H"], "frac_coords": [[0.7500, 0.7500, 0.7500], [0.0000, 0.0000, 0.0000], [0.5000, 0.5000, 0.5000], [0.2500, 0.2500, 0.2500]]}



*B*
{"formula": "NiHgH2", "functional": "GGA-PBE", "state": "optimized geometry", "space_group": "R3m, No. 160", "magmom_total_mub_per_cell": 0.0, "crystal_system": "trigonal", "lattice_angstrom": [[-2.4538, -0.4240, -1.3111], [-0.0522, -1.2635, -2.5141], [-1.3985, -6.3786, 1.6597]], "species": ["H", "Ni", "Hg", "H"], "frac_coords": [[0.3014, 0.3014, 0.0958], [0.6674, 0.6674, 0.9979], [0.4987, 0.4987, 0.5038], [0.0325, 0.0325, 0.9025]]}



*C*
{"formula": "NiHgH2", "functional": "GGA-PBE", "state": "optimized geometry", "space_group": "I-42d, No. 122", "magmom_total_mub_per_cell": 0.0, "crystal_system": "tetragonal", "lattice_angstrom": [[4.5930, 0.0000, 0.0000], [0.0000, 4.5930, 0.0000], [2.2965, 2.2965, 4.1494]], "species": ["H", "Hg", "H", "Hg", "Ni", "Ni", "H", "H"], "frac_coords": [[0.3037, 0.6250, 0.2500], [0.0000, 0.0000, 0.0000], [0.4463, 0.1250, 0.2500], [0.7500, 0.2500, 0.5000], [0.5000, 0.5000, 0.0000], [0.2500, 0.7500, 0.5000], [0.3750, 0.5537, 0.7500], [0.8750, 0.6963, 0.7500]]}



Energetically preferred structure: *B* | next structure: +0.114 eV/atom



*A*
{"formula": "SiNiHgPH", "functional": "GGA-PBE", "state": "optimized geometry", "space_group": "P1, No. 1", "magmom_total_mub_per_cell": 0.0, "crystal_system": "triclinic", "lattice_angstrom": [[-1.1743, 0.6140, 3.5197], [1.3505, -3.6134, 0.0205], [5.6275, 2.4496, 0.0966]], "species": ["Hg", "Ni", "P", "H", "Si"], "frac_coords": [[0.8740, 0.5447, 0.2744], [0.4735, 0.1480, 0.8199], [0.9682, 0.3495, 0.6671], [0.3181, 0.0056, 0.0321], [0.8770, 0.7985, 0.8916]]}



*B*
{"formula": "SiNiHgPH", "functional": "GGA-PBE", "state": "optimized geometry", "space_group": "P1, No. 1", "magmom_total_mub_per_cell": 0.0, "crystal_system": "triclinic", "lattice_angstrom": [[-2.7862, -1.7965, -1.7345], [3.1057, -0.5802, -3.6276], [1.3938, -4.0606, 2.1263]], "species": ["P", "Ni", "H", "Hg", "Si"], "frac_coords": [[0.2879, 0.3526, 0.9320], [0.7704, 0.2795, 0.6691], [0.3323, 0.6493, 0.9869], [0.8865, 0.7715, 0.4753], [0.2674, 0.2619, 0.4053]]}



Energetically preferred structure: *B* | next structure: +0.005 eV/atom



*A*
{"formula": "SiNiHgPH", "functional": "GGA-PBE", "state": "optimized geometry", "space_group": "Pm, No. 6", "magmom_total_mub_per_cell": 0.0, "crystal_system": "monoclinic", "lattice_angstrom": [[5.2949, 0.0000, 0.0000], [0.0000, 2.7667, 0.0000], [-1.1339, 0.0000, 5.9636]], "species": ["P", "Hg", "H", "Si", "Ni"], "frac_coords": [[0.2012, 0.5000, 0.8324], [0.3511, 0.5000, 0.2732], [0.7839, 0.5000, 0.0840], [0.7641, 0.5000, 0.8309], [0.4312, 0.0000, 0.6647]]}



*B*
{"formula": "SiNiHgPH", "functional": "GGA-PBE", "state": "optimized geometry", "space_group": "P1, No. 1", "magmom_total_mub_per_cell": 0.0, "crystal_system": "triclinic", "lattice_angstrom": [[2.7011, 0.0000, 0.0001], [-0.0348, 5.2797, -0.0002], [-0.7828, -2.1640, 5.5645]], "species": ["P", "Ni", "H", "Si", "Hg"], "frac_coords": [[0.6772, 0.9315, 0.3942], [0.1493, 0.5788, 0.3098], [0.7511, 0.1097, 0.6424], [0.5971, 0.1918, 0.1590], [0.2808, 0.6567, 0.8095]]}



Energetically preferred structure: *A* | next structure: +0.048 eV/atom



*A*
{"formula": "HgPHO2", "functional": "GGA-PBE", "state": "optimized geometry", "space_group": "P4/mmm, No. 123", "magmom_total_mub_per_cell": 0.3, "crystal_system": "tetragonal", "lattice_angstrom": [[-1.0989, -3.7986, -1.2905], [3.7760, -1.4313, 0.9977], [-1.7616, -1.1802, 4.9739]], "species": ["O", "Hg", "O", "P", "H"], "frac_coords": [[0.5000, 0.0000, 0.0000], [0.0000, 0.0000, 0.0000], [0.0000, 0.5000, 0.0000], [0.0000, 0.0000, 0.5000], [0.5000, 0.5000, 0.5000]]}



*B*
{"formula": "HgPHO2", "functional": "GGA-PBE", "state": "optimized geometry", "space_group": "P4/mmm, No. 123", "magmom_total_mub_per_cell": 0.0, "crystal_system": "tetragonal", "lattice_angstrom": [[-0.2278, -3.9134, 1.6866], [4.2544, -0.3054, -0.1340], [0.1720, 1.1826, 2.7673]], "species": ["P", "O", "O", "H", "Hg"], "frac_coords": [[0.0000, 0.0000, 0.5000], [0.5000, 0.0000, 0.0000], [0.0000, 0.5000, 0.0000], [0.0000, 0.0000, 0.0000], [0.5000, 0.5000, 0.5000]]}



Energetically preferred structure: *B* | next structure: +0.791 eV/atom



*A*
{"formula": "HgHOs3", "functional": "GGA-PBE", "state": "optimized geometry", "space_group": "Pm-3m, No. 221", "magmom_total_mub_per_cell": 6.8, "crystal_system": "cubic", "lattice_angstrom": [[5.0554, 0.0000, 0.0000], [0.0000, 5.0554, 0.0000], [0.0000, 0.0000, 5.0554]], "species": ["Os", "Hg", "Os", "H", "Os"], "frac_coords": [[0.5000, 0.0000, 0.0000], [0.0000, 0.0000, 0.0000], [0.0000, 0.5000, 0.0000], [0.5000, 0.5000, 0.5000], [0.0000, 0.0000, 0.5000]]}



*B*
{"formula": "HgHOs3", "functional": "GGA-PBE", "state": "optimized geometry", "space_group": "Pm-3m, No. 221", "magmom_total_mub_per_cell": 1.6, "crystal_system": "cubic", "lattice_angstrom": [[4.0307, 0.0000, 0.0000], [0.0000, 4.0307, 0.0000], [0.0000, 0.0000, 4.0307]], "species": ["Os", "H", "Hg", "Os", "Os"], "frac_coords": [[0.5000, 0.0000, 0.0000], [0.0000, 0.0000, 0.0000], [0.5000, 0.5000, 0.5000], [0.0000, 0.0000, 0.5000], [0.0000, 0.5000, 0.0000]]}



Energetically preferred structure: *B* | next structure: +2.918 eV/atom



*A*
{"formula": "HgP2H", "functional": "GGA-PBE", "state": "optimized geometry", "space_group": "Fm-3m, No. 225", "magmom_total_mub_per_cell": 0.0, "crystal_system": "cubic", "lattice_angstrom": [[-2.8442, 1.3043, 3.1651], [-3.7907, 2.0455, -1.1201], [-3.8926, -2.0999, 0.4966]], "species": ["Hg", "H", "P", "P"], "frac_coords": [[0.5000, 0.5000, 0.5000], [0.0000, 0.0000, 0.0000], [0.7500, 0.7500, 0.7500], [0.2500, 0.2500, 0.2500]]}



*B*
{"formula": "HgP2H", "functional": "GGA-PBE", "state": "optimized geometry", "space_group": "I-42d, No. 122", "magmom_total_mub_per_cell": 0.0, "crystal_system": "tetragonal", "lattice_angstrom": [[-0.9025, -4.0744, 1.5229], [2.0038, 0.9910, 3.8389], [-5.1793, 0.6354, 5.1099]], "species": ["P", "Hg", "H", "P", "P", "H", "P", "Hg"], "frac_coords": [[0.3750, 0.5279, 0.7500], [0.0000, 0.0000, 0.0000], [0.5000, 0.5000, 0.0000], [0.4721, 0.1250, 0.2500], [0.8750, 0.7221, 0.7500], [0.2500, 0.7500, 0.5000], [0.2779, 0.6250, 0.2500], [0.7500, 0.2500, 0.5000]]}



Energetically preferred structure: *B* | next structure: +0.540 eV/atom



*A*
{"formula": "HgPHS2", "functional": "GGA-PBE", "state": "optimized geometry", "space_group": "P4/mmm, No. 123", "magmom_total_mub_per_cell": 2.4, "crystal_system": "tetragonal", "lattice_angstrom": [[5.1059, 0.0000, 0.0000], [0.0000, 5.1059, 0.0000], [0.0000, 0.0000, 5.1552]], "species": ["P", "S", "Hg", "S", "H"], "frac_coords": [[0.0000, 0.0000, 0.5000], [0.0000, 0.5000, 0.0000], [0.0000, 0.0000, 0.0000], [0.5000, 0.0000, 0.0000], [0.5000, 0.5000, 0.5000]]}



*B*
{"formula": "HgPHS2", "functional": "GGA-PBE", "state": "optimized geometry", "space_group": "P4/mmm, No. 123", "magmom_total_mub_per_cell": 0.0, "crystal_system": "tetragonal", "lattice_angstrom": [[4.9462, 0.0000, 0.0000], [0.0000, 4.9462, 0.0000], [0.0000, 0.0000, 3.2105]], "species": ["S", "Hg", "P", "H", "S"], "frac_coords": [[0.5000, 0.0000, 0.0000], [0.5000, 0.5000, 0.5000], [0.0000, 0.0000, 0.5000], [0.0000, 0.0000, 0.0000], [0.0000, 0.5000, 0.0000]]}



Energetically preferred structure: *B* | next structure: +0.803 eV/atom



*A*
{"formula": "HgP2HS", "functional": "GGA-PBE", "state": "optimized geometry", "space_group": "P4/mmm, No. 123", "magmom_total_mub_per_cell": 2.1, "crystal_system": "tetragonal", "lattice_angstrom": [[5.0783, 0.0000, 0.0000], [0.0000, 5.0783, 0.0000], [0.0000, 0.0000, 5.1498]], "species": ["P", "Hg", "S", "P", "H"], "frac_coords": [[0.0000, 0.5000, 0.0000], [0.0000, 0.0000, 0.0000], [0.0000, 0.0000, 0.5000], [0.5000, 0.0000, 0.0000], [0.5000, 0.5000, 0.5000]]}



*B*
{"formula": "HgP2HS", "functional": "GGA-PBE", "state": "optimized geometry", "space_group": "P4/mmm, No. 123", "magmom_total_mub_per_cell": 0.3, "crystal_system": "tetragonal", "lattice_angstrom": [[3.6088, 0.0000, 0.0000], [0.0000, 3.6088, 0.0000], [0.0000, 0.0000, 8.0217]], "species": ["Hg", "P", "H", "P", "S"], "frac_coords": [[0.5000, 0.5000, 0.5000], [0.5000, 0.0000, 0.0000], [0.0000, 0.0000, 0.0000], [0.0000, 0.5000, 0.0000], [0.0000, 0.0000, 0.5000]]}



Energetically preferred structure: *B* | next structure: +1.050 eV/atom



*A*
{"formula": "Hg2HPb", "functional": "GGA-PBE", "state": "optimized geometry", "space_group": "C2/m, No. 12", "magmom_total_mub_per_cell": 0.0, "crystal_system": "monoclinic", "lattice_angstrom": [[-3.2192, -1.1973, 0.0734], [5.3291, -8.9650, 7.0914], [1.6720, -3.9913, 8.2230]], "species": ["H", "Hg", "Hg", "Pb", "Hg", "Hg", "H", "Pb"], "frac_coords": [[0.6509, 0.3018, 0.0104], [0.6575, 0.3149, 0.7995], [0.3425, 0.6851, 0.2005], [0.6079, 0.2158, 0.5928], [0.8708, 0.7415, 0.7706], [0.1292, 0.2585, 0.2294], [0.3491, 0.6982, 0.9896], [0.3921, 0.7842, 0.4072]]}



*B*
{"formula": "Hg2HPb", "functional": "GGA-PBE", "state": "optimized geometry", "space_group": "Fm-3m, No. 225", "magmom_total_mub_per_cell": 0.0, "crystal_system": "cubic", "lattice_angstrom": [[0.0000, 3.5896, 3.5896], [3.5896, 0.0000, 3.5896], [3.5896, 3.5896, 0.0000]], "species": ["Pb", "H", "Hg", "Hg"], "frac_coords": [[0.5000, 0.5000, 0.5000], [0.0000, 0.0000, 0.0000], [0.2500, 0.2500, 0.2500], [0.7500, 0.7500, 0.7500]]}



*C*
{"formula": "Hg2HPb", "functional": "GGA-PBE", "state": "optimized geometry", "space_group": "I-42d, No. 122", "magmom_total_mub_per_cell": 0.0, "crystal_system": "tetragonal", "lattice_angstrom": [[-5.2588, 1.1579, 0.5675], [-1.2760, -4.3277, -2.9935], [-3.4911, -5.2312, 4.1539]], "species": ["H", "Hg", "Hg", "Hg", "Pb", "H", "Pb", "Hg"], "frac_coords": [[0.2500, 0.7500, 0.5000], [0.2745, 0.6250, 0.2500], [0.3750, 0.5245, 0.7500], [0.8750, 0.7255, 0.7500], [0.7500, 0.2500, 0.5000], [0.5000, 0.5000, 0.0000], [0.0000, 0.0000, 0.0000], [0.4755, 0.1250, 0.2500]]}



Energetically preferred structure: *A* | next structure: +0.138 eV/atom



*A*
{"formula": "HgHPb", "functional": "GGA-PBE", "state": "optimized geometry", "space_group": "I4mm, No. 107", "magmom_total_mub_per_cell": 0.0, "crystal_system": "tetragonal", "lattice_angstrom": [[-0.0968, 1.4704, 4.0540], [1.9025, -3.6246, 1.3601], [2.9299, 2.8780, -3.2688]], "species": ["H", "Hg", "Pb"], "frac_coords": [[0.9439, 0.9439, 0.8879], [0.1867, 0.1867, 0.3733], [0.7194, 0.7194, 0.4388]]}



*B*
{"formula": "HgHPb", "functional": "GGA-PBE", "state": "optimized geometry", "space_group": "Pm, No. 6", "magmom_total_mub_per_cell": 0.0, "crystal_system": "monoclinic", "lattice_angstrom": [[3.3840, 0.0016, -0.0278], [1.6924, 2.9306, -0.0328], [0.1242, 0.0965, 14.5547]], "species": ["H", "Pb", "Hg", "Pb", "H", "Hg"], "frac_coords": [[0.7936, 0.2669, 0.1906], [0.4719, 0.9392, 0.4363], [0.8037, 0.2705, 0.6189], [0.4718, 0.9394, 0.9969], [0.7928, 0.2658, 0.2427], [0.8040, 0.2708, 0.8143]]}



*C*
{"formula": "HgHPb", "functional": "GGA-PBE", "state": "optimized geometry", "space_group": "P1, No. 1", "magmom_total_mub_per_cell": 0.0, "crystal_system": "triclinic", "lattice_angstrom": [[6.6683, 1.1180, 0.2229], [4.4903, 3.6496, 0.5732], [-0.2811, 0.5188, 6.9997]], "species": ["Pb", "H", "Hg", "H", "Pb", "Hg"], "frac_coords": [[0.2059, 0.1770, 0.2051], [0.0825, 0.2710, 0.8945], [0.1399, 0.1421, 0.6528], [0.3161, 0.7098, 0.2425], [0.4568, 0.3717, 0.5190], [0.6326, 0.2197, 0.9804]]}



Energetically preferred structure: *B* | next structure: +0.153 eV/atom



*A*
{"formula": "HgHPb", "functional": "GGA-PBE", "state": "optimized geometry", "space_group": "Cc, No. 9", "magmom_total_mub_per_cell": 0.0, "crystal_system": "monoclinic", "lattice_angstrom": [[-5.7983, -0.7864, -7.3334], [-2.4045, -3.8412, 2.3130], [2.0796, 4.1547, 9.0615]], "species": ["Hg", "Pb", "H", "Pb", "H", "Hg", "Pb", "H", "Hg", "H", "Pb", "Hg"], "frac_coords": [[0.1519, 0.1852, 0.2136], [0.9188, 0.2268, 0.7048], [0.7111, 0.0428, 0.1367], [0.4188, 0.2732, 0.7048], [0.7111, 0.5428, 0.6367], [0.1519, 0.6852, 0.7136], [0.4188, 0.7732, 0.2048], [0.2111, 0.9572, 0.6367], [0.6519, 0.3148, 0.2136], [0.2111, 0.4572, 0.1367], [0.9188, 0.7268, 0.2048], [0.6519, 0.8148, 0.7136]]}



*B*
{"formula": "HgHPb", "functional": "GGA-PBE", "state": "optimized geometry", "space_group": "P1, No. 1", "magmom_total_mub_per_cell": 0.0, "crystal_system": "triclinic", "lattice_angstrom": [[3.3603, -0.0220, 0.0758], [-1.6611, 2.9207, 0.0985], [-0.1778, -0.3743, 7.0942]], "species": ["H", "Pb", "Hg"], "frac_coords": [[0.1601, 0.4510, 0.1037], [0.1543, 0.4457, 0.8173], [0.1585, 0.4481, 0.3767]]}



Energetically preferred structure: *B* | next structure: +0.018 eV/atom



*A*
{"formula": "Hg2HPb2", "functional": "GGA-PBE", "state": "optimized geometry", "space_group": "P4/mbm, No. 127", "magmom_total_mub_per_cell": 0.0, "crystal_system": "tetragonal", "lattice_angstrom": [[-5.3440, 0.7185, 4.0524], [-1.0945, -6.6504, -0.2641], [3.2522, -0.7105, 4.4147]], "species": ["Pb", "H", "Pb", "Pb", "Hg", "Hg", "Pb", "H", "Hg", "Hg"], "frac_coords": [[0.6829, 0.1829, 0.0000], [0.0000, 0.0000, 0.0000], [0.1829, 0.3171, 0.0000], [0.8171, 0.6829, 0.0000], [0.8389, 0.3389, 0.5000], [0.6611, 0.8389, 0.5000], [0.3171, 0.8171, 0.0000], [0.5000, 0.5000, 0.0000], [0.3389, 0.1611, 0.5000], [0.1611, 0.6611, 0.5000]]}



*B*
{"formula": "Hg2HPb2", "functional": "GGA-PBE", "state": "optimized geometry", "space_group": "P4/mbm, No. 127", "magmom_total_mub_per_cell": 0.0, "crystal_system": "tetragonal", "lattice_angstrom": [[-5.6779, 2.4921, 1.4555], [-1.9532, -5.6830, 2.1109], [1.9561, 1.3216, 5.3680]], "species": ["Hg", "Hg", "Pb", "Pb", "Hg", "H", "Hg", "Pb", "Pb", "H"], "frac_coords": [[0.1721, 0.3279, 0.0000], [0.8279, 0.6721, 0.0000], [0.3101, 0.1899, 0.5000], [0.1899, 0.6899, 0.5000], [0.3279, 0.8279, 0.0000], [0.0000, 0.0000, 0.0000], [0.6721, 0.1721, 0.0000], [0.8101, 0.3101, 0.5000], [0.6899, 0.8101, 0.5000], [0.5000, 0.5000, 0.0000]]}



Energetically preferred structure: *A* | next structure: +0.117 eV/atom